*1*
## Dy2Cu2O5 (SCAN)

Data for a PBEsol-optimized structure of Dy2Cu2O5.

a b c (Å): 10.758 3.483 12.367
angles (deg): 90.00 90.00 90.00
Sites, in units of the cell vectors:
Dy 0.043 0.218 0.000
Dy 0.208 0.215 0.328
Dy 0.292 0.715 0.828
Dy 0.457 0.718 0.500
Dy 0.543 0.282 0.000
Dy 0.708 0.285 0.328
Dy 0.792 0.785 0.828
Dy 0.957 0.782 0.500
Cu 0.011 0.342 0.717
Cu 0.238 0.153 0.613
Cu 0.262 0.653 0.113
Cu 0.489 0.842 0.217
Cu 0.511 0.158 0.717
Cu 0.738 0.347 0.613
Cu 0.762 0.847 0.113
Cu 0.989 0.658 0.217
O 0.072 0.279 0.567
O 0.076 0.721 0.356
O 0.125 0.345 0.164
O 0.174 0.722 0.974
O 0.176 0.213 0.764
O 0.324 0.713 0.264
O 0.326 0.222 0.474
O 0.375 0.845 0.664
O 0.424 0.221 0.856
O 0.428 0.779 0.067
O 0.572 0.221 0.567
O 0.576 0.779 0.356
O 0.625 0.155 0.164
O 0.674 0.778 0.974
O 0.676 0.287 0.764
O 0.824 0.787 0.264
O 0.826 0.278 0.474
O 0.875 0.655 0.664
O 0.924 0.279 0.856
O 0.928 0.721 0.067

Calculated values
**Space group**: Pna2_1

*2*
## Dy2Cu2O5 (SCAN)

Data for a PBEsol-optimized structure of Dy2Cu2O5.

a b c (Å): 6.167 11.063 7.072
angles (deg): 90.00 90.00 90.00
Sites, in units of the cell vectors:
Dy 0.250 0.023 0.119
Dy 0.250 0.477 0.119
Dy 0.250 0.523 0.619
Dy 0.250 0.977 0.619
Dy 0.750 0.023 0.381
Dy 0.750 0.477 0.381
Dy 0.750 0.523 0.881
Dy 0.750 0.977 0.881
Cu 0.071 0.250 0.347
Cu 0.088 0.250 0.870
Cu 0.412 0.750 0.370
Cu 0.429 0.750 0.847
Cu 0.571 0.250 0.153
Cu 0.588 0.250 0.630
Cu 0.912 0.750 0.130
Cu 0.929 0.750 0.653
O 0.069 0.085 0.855
O 0.069 0.415 0.855
O 0.097 0.088 0.387
O 0.097 0.412 0.387
O 0.246 0.750 0.618
O 0.254 0.250 0.118
O 0.403 0.588 0.887
O 0.403 0.912 0.887
O 0.431 0.585 0.355
O 0.431 0.915 0.355
O 0.569 0.085 0.645
O 0.569 0.415 0.645
O 0.597 0.088 0.113
O 0.597 0.412 0.113
O 0.746 0.750 0.882
O 0.754 0.250 0.382
O 0.903 0.588 0.613
O 0.903 0.912 0.613
O 0.931 0.585 0.145
O 0.931 0.915 0.145

Calculated values
**Space group**: Pnma

Energy ordering: *1* at the bottom, the next structure 2.6 kJ/mol of atoms above.

*1*
## LiCu2F5 (SCAN)

Data for a PBEsol-optimized structure of LiCu2F5.

a b c (Å): 12.847 10.026 3.059
angles (deg): 90.00 90.00 90.00
Sites, in units of the cell vectors:
Li 0.239 0.250 0.116
Li 0.261 0.750 0.616
Li 0.739 0.250 0.384
Li 0.761 0.750 0.884
Cu 0.078 0.090 0.680
Cu 0.078 0.410 0.680
Cu 0.422 0.590 0.180
Cu 0.422 0.910 0.180
Cu 0.578 0.090 0.820
Cu 0.578 0.410 0.820
Cu 0.922 0.590 0.320
Cu 0.922 0.910 0.320
F 0.067 0.250 0.043
F 0.069 0.560 0.282
F 0.069 0.940 0.282
F 0.217 0.124 0.611
F 0.217 0.376 0.611
F 0.283 0.624 0.111
F 0.283 0.876 0.111
F 0.431 0.060 0.782
F 0.431 0.440 0.782
F 0.433 0.750 0.543
F 0.567 0.250 0.457
F 0.569 0.560 0.218
F 0.569 0.940 0.218
F 0.717 0.124 0.889
F 0.717 0.376 0.889
F 0.783 0.624 0.389
F 0.783 0.876 0.389
F 0.931 0.060 0.718
F 0.931 0.440 0.718
F 0.933 0.750 0.957

Calculated values
**Space group**: Pnma

*2*
## LiCu2F5 (SCAN)

Data for a PBEsol-optimized structure of LiCu2F5.

a b c (Å): 5.363 5.363 9.691
angles (deg): 90.00 90.00 137.34
Sites, in units of the cell vectors:
Li 0.193 0.807 0.750
Li 0.807 0.193 0.250
Cu 0.139 0.861 0.068
Cu 0.139 0.861 0.432
Cu 0.861 0.139 0.568
Cu 0.861 0.139 0.932
F 0.060 0.940 0.613
F 0.060 0.940 0.887
F 0.225 0.775 0.250
F 0.322 0.678 0.565
F 0.322 0.678 0.935
F 0.678 0.322 0.065
F 0.678 0.322 0.435
F 0.775 0.225 0.750
F 0.940 0.060 0.113
F 0.940 0.060 0.387

Calculated values
**Space group**: Cmcm

Energy ordering: *2* at the bottom, the next structure 5.8 kJ/mol of atoms above.

*1*
## Li2Cu3F8 (SCAN)

Data for a PBEsol-optimized structure of Li2Cu3F8.

a b c (Å): 5.343 5.420 5.499
angles (deg): 89.49 77.44 65.50
Sites, in units of the cell vectors:
Li 0.000 0.000 0.000
Li 0.475 0.291 0.702
Cu 0.095 0.484 0.234
Cu 0.412 0.856 0.459
Cu 0.752 0.573 0.813
F 0.176 0.245 0.941
F 0.197 0.796 0.258
F 0.251 0.710 0.738
F 0.351 0.237 0.398
F 0.669 0.296 0.961
F 0.678 0.889 0.631
F 0.779 0.742 0.111
F 0.789 0.401 0.496

Calculated values
**Space group**: P1

*2*
## Li2Cu3F8 (SCAN)

Data for a PBEsol-optimized structure of Li2Cu3F8.

a b c (Å): 6.037 6.037 8.963
angles (deg): 90.29 90.29 117.43
Sites, in units of the cell vectors:
Li 0.155 0.819 0.881
Li 0.164 0.836 0.500
Li 0.819 0.155 0.381
Li 0.836 0.164 0.000
Cu 0.147 0.319 0.717
Cu 0.319 0.147 0.217
Cu 0.321 0.641 0.214
Cu 0.641 0.321 0.714
Cu 0.643 0.817 0.723
Cu 0.817 0.643 0.223
F 0.007 0.466 0.851
F 0.021 0.525 0.336
F 0.136 0.265 0.105
F 0.204 0.837 0.096
F 0.265 0.136 0.605
F 0.345 0.694 0.612
F 0.435 0.452 0.334
F 0.452 0.435 0.834
F 0.466 0.007 0.351
F 0.525 0.021 0.836
F 0.634 0.786 0.115
F 0.694 0.345 0.112
F 0.786 0.634 0.615
F 0.837 0.204 0.596
F 0.927 0.953 0.850
F 0.953 0.927 0.350

Calculated values
**Space group**: Cc

Energy ordering: *2* at the bottom, the next structure 3.2 kJ/mol of atoms above.

*1*
## LiCuF3 (SCAN)

Data for a PBEsol-optimized structure of LiCuF3.

a b c (Å): 5.445 5.445 5.445
angles (deg): 55.10 55.10 55.10
Sites, in units of the cell vectors:
Li 0.000 0.000 0.000
Li 0.500 0.500 0.500
Cu 0.297 0.297 0.297
Cu 0.797 0.797 0.797
F 0.076 0.399 0.695
F 0.195 0.899 0.576
F 0.399 0.695 0.076
F 0.576 0.195 0.899
F 0.695 0.076 0.399
F 0.899 0.576 0.195

Calculated values
**Space group**: R3c

*2*
## LiCuF3 (SCAN)

Data for a PBEsol-optimized structure of LiCuF3.

a b c (Å): 5.071 5.213 7.711
angles (deg): 89.07 87.18 86.12
Sites, in units of the cell vectors:
Li 0.007 0.448 0.270
Li 0.489 0.036 0.771
Li 0.511 0.964 0.229
Li 0.993 0.552 0.730
Cu 0.000 0.000 0.000
Cu 0.000 0.000 0.500
Cu 0.500 0.500 0.000
Cu 0.500 0.500 0.500
F 0.144 0.903 0.775
F 0.162 0.667 0.445
F 0.174 0.679 0.093
F 0.303 0.158 0.403
F 0.341 0.190 0.055
F 0.359 0.398 0.723
F 0.641 0.602 0.277
F 0.659 0.810 0.945
F 0.697 0.842 0.597
F 0.826 0.321 0.907
F 0.838 0.333 0.555
F 0.856 0.097 0.225

Calculated values
**Space group**: P-1

*3*
## LiCuF3 (SCAN)

Data for a PBEsol-optimized structure of LiCuF3.

a b c (Å): 8.712 4.933 4.933
angles (deg): 84.75 90.00 90.00
Sites, in units of the cell vectors:
Li 0.000 0.000 0.000
Li 0.000 0.005 0.495
Li 0.000 0.495 0.005
Li 0.500 0.551 0.551
Cu 0.182 0.499 0.499
Cu 0.328 0.997 0.997
Cu 0.672 0.997 0.997
Cu 0.818 0.499 0.499
F 0.000 0.308 0.695
F 0.000 0.695 0.308
F 0.149 0.194 0.194
F 0.152 0.812 0.812
F 0.331 0.301 0.706
F 0.331 0.706 0.301
F 0.500 0.166 0.166
F 0.500 0.815 0.815
F 0.669 0.301 0.706
F 0.669 0.706 0.301
F 0.848 0.812 0.812
F 0.851 0.194 0.194

Calculated values
**Space group**: Amm2

*4*
## LiCuF3 (SCAN)

Data for a PBEsol-optimized structure of LiCuF3.

a b c (Å): 8.431 4.881 5.145
angles (deg): 90.00 90.00 90.00
Sites, in units of the cell vectors:
Li 0.000 0.224 0.000
Li 0.000 0.734 0.935
Li 0.500 0.266 0.435
Li 0.500 0.776 0.500
Cu 0.177 0.751 0.442
Cu 0.323 0.249 0.942
Cu 0.677 0.249 0.942
Cu 0.823 0.751 0.442
F 0.000 0.558 0.602
F 0.000 0.943 0.269
F 0.161 0.016 0.809
F 0.162 0.478 0.086
F 0.338 0.522 0.586
F 0.339 0.984 0.309
F 0.500 0.057 0.769
F 0.500 0.442 0.102
F 0.661 0.984 0.309
F 0.662 0.522 0.586
F 0.838 0.478 0.086
F 0.839 0.016 0.809

Calculated values
**Space group**: Pmn2_1

Energy ordering: *2* at the bottom, the next structure 0.8 kJ/mol of atoms above.

*1*
## LiCuF3 (SCAN)

Data for a PBEsol-optimized structure of LiCuF3.

a b c (Å): 4.882 4.882 14.050
angles (deg): 90.00 90.00 120.00
Sites, in units of the cell vectors:
Li 0.002 0.004 0.250
Li 0.002 0.998 0.917
Li 0.004 0.002 0.083
Li 0.996 0.998 0.583
Li 0.998 0.002 0.417
Li 0.998 0.996 0.750
Cu 0.332 0.664 0.750
Cu 0.332 0.668 0.417
Cu 0.336 0.668 0.083
Cu 0.664 0.332 0.583
Cu 0.668 0.332 0.917
Cu 0.668 0.336 0.250
F 0.000 0.323 0.833
F 0.000 0.677 0.333
F 0.003 0.328 0.166
F 0.003 0.674 0.000
F 0.323 0.000 0.500
F 0.323 0.323 0.667
F 0.326 0.328 0.334
F 0.326 0.997 0.833
F 0.328 0.003 0.167
F 0.328 0.326 0.000
F 0.672 0.674 0.500
F 0.672 0.997 0.667
F 0.674 0.003 0.333
F 0.674 0.672 0.834
F 0.677 0.000 0.000
F 0.677 0.677 0.167
F 0.997 0.326 0.500
F 0.997 0.672 0.666

Calculated values
**Space group**: P6_122

*2*
## LiCuF3 (SCAN)

Data for a PBEsol-optimized structure of LiCuF3.

a b c (Å): 3.243 9.647 7.519
angles (deg): 90.00 106.08 90.00
Sites, in units of the cell vectors:
Li 0.011 0.189 0.482
Li 0.011 0.311 0.982
Li 0.989 0.689 0.018
Li 0.989 0.811 0.518
Cu 0.315 0.002 0.187
Cu 0.315 0.498 0.687
Cu 0.685 0.502 0.313
Cu 0.685 0.998 0.813
F 0.145 0.619 0.471
F 0.145 0.881 0.971
F 0.175 0.096 0.708
F 0.175 0.404 0.208
F 0.443 0.138 0.372
F 0.443 0.362 0.872
F 0.557 0.638 0.128
F 0.557 0.862 0.628
F 0.825 0.596 0.792
F 0.825 0.904 0.292
F 0.855 0.119 0.029
F 0.855 0.381 0.529

Calculated values
**Space group**: P2_1/c

Energy ordering: *2* at the bottom, the next structure 3.8 kJ/mol of atoms above.

*1*
## Li2Cu2F7 (SCAN)

Data for a PBEsol-optimized structure of Li2Cu2F7.

a b c (Å): 5.242 6.402 8.531
angles (deg): 73.26 72.97 84.34
Sites, in units of the cell vectors:
Li 0.056 0.238 0.356
Li 0.400 0.582 0.723
Li 0.600 0.418 0.277
Li 0.944 0.762 0.644
Cu 0.203 0.994 0.826
Cu 0.279 0.789 0.297
Cu 0.721 0.211 0.703
Cu 0.797 0.006 0.174
F 0.074 0.113 0.606
F 0.100 0.723 0.834
F 0.174 0.905 0.083
F 0.238 0.498 0.297
F 0.309 0.701 0.522
F 0.346 0.266 0.806
F 0.419 0.081 0.261
F 0.581 0.919 0.739
F 0.654 0.734 0.194
F 0.691 0.299 0.478
F 0.762 0.502 0.703
F 0.826 0.095 0.917
F 0.900 0.277 0.166
F 0.926 0.887 0.394

Calculated values
**Space group**: P-1

*2*
## Li2Cu2F7 (SCAN)

Data for a PBEsol-optimized structure of Li2Cu2F7.

a b c (Å): 7.002 7.002 7.002
angles (deg): 60.00 60.00 60.00
Sites, in units of the cell vectors:
Li 0.000 0.000 0.000
Li 0.000 0.000 0.500
Li 0.000 0.500 0.000
Li 0.500 0.000 0.000
Cu 0.000 0.500 0.500
Cu 0.500 0.000 0.500
Cu 0.500 0.500 0.000
Cu 0.500 0.500 0.500
F 0.125 0.125 0.125
F 0.171 0.171 0.579
F 0.171 0.579 0.171
F 0.171 0.579 0.579
F 0.421 0.421 0.829
F 0.421 0.829 0.421
F 0.421 0.829 0.829
F 0.579 0.171 0.171
F 0.579 0.171 0.579
F 0.579 0.579 0.171
F 0.829 0.421 0.421
F 0.829 0.421 0.829
F 0.829 0.829 0.421
F 0.875 0.875 0.875

Calculated values
**Space group**: Fd-3m

Energy ordering: *1* at the bottom, the next structure 2.7 kJ/mol of atoms above.